Record 1
## HfMnTcF2 (GGA+U)

Data for crystalline HfMnTcF2 at its relaxed geometry.

a = 4.067 Å, b = 4.067 Å, c = 5.299 Å
α = 90.00°, β = 90.00°, γ = 90.00°
Element x y z (fractional)
Hf  0.000  0.000  0.000
Mn  0.500  0.500  0.000
Tc  0.500  0.500  0.500
F  0.000  0.500  0.500
F  0.500  0.000  0.500

- VASP energy: -6.31 eV per atom
- Calculated volume: 17.5 A^3/atom
- Magnetic moment: 1.9 Bohr magnetons per cell

***

Record 2
## HfMnTe2F (GGA+U)

Data for crystalline HfMnTe2F at its relaxed geometry.

a = 5.643 Å, b = 5.643 Å, c = 4.107 Å
α = 90.00°, β = 90.00°, γ = 90.00°
Element x y z (fractional)
Hf  0.000  0.000  0.000
Mn  0.500  0.500  0.500
Te  0.000  0.500  0.000
Te  0.500  0.000  0.000
F  0.000  0.000  0.500

- VASP energy: -6.10 eV per atom
- Calculated volume: 26.2 A^3/atom
- Magnetic moment: 5.6 Bohr magnetons per cell